4
Lattice="2.642 -1.526 0.000 0.000 3.051 0.000 0.000 0.000 6.540" Properties=species:S:1:pos:R:3 comment="CrInO2 | the Alexandria database | PBE+U | optimized geometry" dos_ef_per_ev_atom=0.022 total_magnetization_mub_per_cell=3.00 total_energy_ev_per_atom=-6.480 pbc="T T T"
Cr 0.000 0.000 6.470
O 0.881 1.526 5.446
O 1.762 0.000 0.962
In 0.881 1.526 3.178